(1)
The following is a PBE-GGA calculation of a relaxed structure of LiGeAu, from Alexandria via LeMat-Bulk.

Geometry as CIF:
```
data_LiGeAu
_symmetry_space_group_name_H-M 'P n m a'
_symmetry_Int_Tables_number 62
_symmetry_space_group_name_Hall '-P 2ac 2n'
_cell_length_a 5.487
_cell_length_b 4.445
_cell_length_c 8.259
_cell_angle_alpha 90.00
_cell_angle_beta 90.00
_cell_angle_gamma 90.00
loop_
_atom_site_label
_atom_site_fract_x
_atom_site_fract_y
_atom_site_fract_z
_atom_site_occupancy
Li1 0.132 0.250 0.135 1
Ge1 0.233 0.250 0.807 1
Au1 0.172 0.250 0.470 1
```

Calculated values
The calculation puts the formation energy at -0.337 eV/atom. For the calculated total energy, the calculation gives -43.3 eV per cell. The calculation puts the density at 9.1 g/cm³.

(2)
The following is a PBE-GGA calculation of a relaxed structure of Li3GeAu, from Alexandria via LeMat-Bulk.

Geometry as CIF:
```
data_Li3GeAu
_symmetry_space_group_name_H-M 'P m -3 m'
_symmetry_Int_Tables_number 221
_symmetry_space_group_name_Hall '-P 4 2 3'
_cell_length_a 4.734
_cell_length_b 4.734
_cell_length_c 4.734
_cell_angle_alpha 90.00
_cell_angle_beta 90.00
_cell_angle_gamma 90.00
loop_
_atom_site_label
_atom_site_fract_x
_atom_site_fract_y
_atom_site_fract_z
_atom_site_occupancy
Li1 0.000 0.000 0.500 1
Ge1 0.500 0.500 0.500 1
Au1 0.000 0.000 0.000 1
```

Calculated values
The calculation puts the formation energy at 0.025 eV/atom. For the calculated total energy, the calculation gives -13.5 eV per cell. The distance to the lowest polymorph of the same formula is 2.16 eV per formula unit. The calculation puts the density at 4.5 g/cm³.

(3)
The following is a PBE-GGA calculation of a relaxed structure of Li8GeAu3, from Alexandria via LeMat-Bulk.

Geometry as CIF:
```
data_Li8GeAu3
_symmetry_space_group_name_H-M 'F m m m'
_symmetry_Int_Tables_number 69
_symmetry_space_group_name_Hall '-F 2 2'
_cell_length_a 8.672
_cell_length_b 8.730
_cell_length_c 12.470
_cell_angle_alpha 90.00
_cell_angle_beta 90.00
_cell_angle_gamma 90.00
loop_
_atom_site_label
_atom_site_fract_x
_atom_site_fract_y
_atom_site_fract_z
_atom_site_occupancy
Li1 0.000 0.243 0.122 1
Li2 0.245 0.000 0.123 1
Ge1 0.000 0.000 0.000 1
Au1 0.000 0.000 0.500 1
Au2 0.250 0.250 0.250 1
```

Calculated values
The calculation puts the formation energy at -0.294 eV/atom. For the calculated total energy, the calculation gives -133.2 eV per cell. The calculation puts the density at 5.1 g/cm³.

(4)
The following is a PBE-GGA calculation of a relaxed structure of LiGe2Au, from Alexandria via LeMat-Bulk.

Geometry as CIF:
```
data_LiGe2Au
_symmetry_space_group_name_H-M 'R -3 m'
_symmetry_Int_Tables_number 166
_symmetry_space_group_name_Hall '-R 3 2"'
_cell_length_a 3.2821
_cell_length_b 3.2821
_cell_length_c 26.6902
_cell_angle_alpha 90.00
_cell_angle_beta 90.00
_cell_angle_gamma 120.00
loop_
_atom_site_label
_atom_site_fract_x
_atom_site_fract_y
_atom_site_fract_z
_atom_site_occupancy
Li1 0.0000 0.0000 0.0000 1
Ge1 0.0000 0.0000 0.0951 1
Au1 0.0000 0.0000 0.5000 1
```

Calculated values
The calculation puts the formation energy at 0.088 eV/atom. For the calculated total energy, the calculation gives -42.2 eV per cell. The distance to the lowest polymorph of the same formula is 0.96 eV per formula unit. The calculation puts the density at 7.0 g/cm³.